Entry 1:
A plane-wave DFT calculation with PBE was carried out for crystalline Nb2InTe4 at its relaxed geometry.

Properties
As for the density of states at the Fermi level: 7.56 states/eV/f.u. The formation energy (no corrections) comes out at -0.13 eV per atom. The value obtained for the total magnetization is 4.4 μB per cell. As for the symmetry: No. 12. As for the total energy: -5.195 eV per atom.

```
14
Lattice="7.791 0.016 -3.942 -1.911 7.222 -3.749 -0.498 -0.908 8.683" Properties=species:S:1:pos:R:3 pbc="T T T"
Nb 4.028 2.491 -1.699
Nb 3.779 2.037 2.643
Nb -0.116 2.030 4.614
Nb 3.072 6.102 -3.573
Te 2.807 0.763 0.252
Te 5.249 4.220 -3.649
Te 1.461 3.722 2.902
Te 1.728 4.212 -1.868
Te 6.328 0.770 -1.529
Te 6.098 0.352 2.384
Te 2.327 0.508 4.602
Te 5.231 3.567 0.684
In 0.004 0.089 0.009
In 0.262 4.878 0.536
```

Entry 2:
A plane-wave DFT calculation with PBE was carried out for crystalline NbInTe2 at its relaxed geometry.

Properties
As for the density of states at the Fermi level: 2.35 states/eV/f.u. The formation energy (no corrections) comes out at -0.28 eV per atom. The value obtained for the total magnetization is 0.0 μB per cell. As for the symmetry: No. 166. As for the total energy: -5.052 eV per atom.

```
4
Lattice="-8.970 -2.146 5.344 -7.055 -0.570 7.970 -8.928 1.454 5.638" Properties=species:S:1:pos:R:3 pbc="T T T"
Nb -12.477 -0.631 9.476
Te -2.669 -0.135 2.027
Te -22.284 -1.126 16.926
In 0.000 0.000 0.000
```

| no. | calculated volume (Å³/atom) |
| --- | --- |
| 1 | 31.5 |
| 2 | 29.5 |